Entry 1:
A plane-wave DFT calculation with GGA-PBE was carried out for a geometry-optimized AlFeSb2 structure.

The structure belongs to space group F-43m (No. 216); the cell edges are 6.9466, 6.9466 and 6.9466 Å and the angles 90.00°, 90.00° and 90.00°. The inequivalent atoms are Al at (0.0000, 0.0000, 0.0000), Fe at (0.2500, 0.2500, 0.7500), Sb at (0.0000, 0.0000, 0.5000) and Sb at (0.2500, 0.2500, 0.2500).

As for the total magnetization: 0.63 μB per atom. As for the raw formation energy: 0.58 eV per atom. As for the crystal system: cubic.

***

Entry 2:
A plane-wave DFT calculation with GGA-PBE was carried out for a geometry-optimized Ac5ErSb6 structure.

The structure belongs to space group C2/m (No. 12); the cell edges are 8.1920, 14.1948 and 8.1958 Å and the angles 90.00°, 109.56° and 90.00°. The inequivalent atoms are Ac at (0.0000, 0.0000, 0.0000), Ac at (0.0000, 0.1653, 0.5000), Ac at (0.0000, 0.3298, 0.0000), Er at (0.0000, 0.5000, 0.5000), Sb at (0.2376, 0.5000, 0.2561) and Sb at (0.2395, 0.3401, 0.7402).

As for the total magnetization: 0.00 μB per atom. As for the raw formation energy: -1.17 eV per atom. As for the crystal system: monoclinic.

***

Entry 3:
A plane-wave DFT calculation with GGA-PBE was carried out for a geometry-optimized Pu4CoBi2 structure.

The structure belongs to space group I4/mmm (No. 139); the cell edges are 4.8461, 4.8461 and 17.1851 Å and the angles 90.00°, 90.00° and 90.00°. The inequivalent atoms are Pu at (0.0000, 0.0000, 0.1690), Pu at (0.0000, 0.5000, 0.0000), Co at (0.0000, 0.0000, 0.0000) and Bi at (0.0000, 0.0000, 0.3590).

As for the total magnetization: 0.20 μB per atom. As for the crystal system: tetragonal. The formation energy comes out at -163 meV/atom.

***

Entry 4:
A plane-wave DFT calculation with GGA-PBE was carried out for a geometry-optimized Dy2TcTe structure.

The structure belongs to space group R-3m (No. 166, hexagonal axes); the cell edges are 3.7584, 3.7584 and 27.7797 Å and the angles 90.00°, 90.00° and 120.00°. The inequivalent atoms are Dy at (0.0000, 0.0000, 0.0895), Tc at (0.0000, 0.0000, 0.0000) and Te at (0.0000, 0.0000, 0.5000).

As for the total magnetization: 0.00 μB per atom. As for the raw formation energy: 0.31 eV per atom. As for the crystal system: trigonal.

***

Entry 5:
A plane-wave DFT calculation with GGA-PBE was carried out for a geometry-optimized SmICl structure.

The structure belongs to space group P3m1 (No. 156); the cell edges are 4.0292, 4.0292 and 7.6891 Å and the angles 90.00°, 90.00° and 120.00°. The inequivalent atoms are Sm at (0.0000, 0.0000, 0.0000), I at (0.3333, 0.6667, 0.7303) and Cl at (0.6667, 0.3333, 0.2135).

As for the total magnetization: 0.00 μB per atom. As for the raw formation energy: -1.59 eV per atom. As for the crystal system: trigonal.

***

Entry 6:
A plane-wave DFT calculation with GGA-PBE was carried out for a geometry-optimized SrGd2Hf structure.

The structure belongs to space group R-3m (No. 166, hexagonal axes); the cell edges are 3.5094, 3.5094 and 36.9281 Å and the angles 90.00°, 90.00° and 120.00°. The inequivalent atoms are Sr at (0.0000, 0.0000, 0.0000), Gd at (0.0000, 0.0000, 0.0963) and Hf at (0.0000, 0.0000, 0.5000).

As for the total magnetization: 3.73 μB per atom. As for the crystal system: trigonal. The formation energy comes out at 301 meV/atom.

***

Entry 7:
A plane-wave DFT calculation with GGA-PBE was carried out for a geometry-optimized MgUZnIr structure.

The structure belongs to space group F-43m (No. 216); the cell edges are 6.6986, 6.6986 and 6.6986 Å and the angles 90.00°, 90.00° and 90.00°. The inequivalent atoms are Mg at (0.0000, 0.0000, 0.0000), U at (0.0000, 0.0000, 0.5000), Zn at (0.2500, 0.2500, 0.7500) and Ir at (0.2500, 0.2500, 0.2500).

As for the total magnetization: 0.50 μB per atom. As for the crystal system: cubic. The formation energy comes out at -137 meV/atom.

***

Entry 8:
A plane-wave DFT calculation with GGA-PBE was carried out for a geometry-optimized NaVPCl2 structure.

The structure belongs to space group P4/mmm (No. 123); the cell edges are 4.7210, 4.7210 and 5.3819 Å and the angles 90.00°, 90.00° and 90.00°. The inequivalent atoms are Na at (0.0000, 0.0000, 0.0000), V at (0.5000, 0.5000, 0.5000), P at (0.0000, 0.0000, 0.5000) and Cl at (0.0000, 0.5000, 0.0000).

As for the total magnetization: 0.23 μB per atom. As for the raw formation energy: 0.68 eV per atom. As for the crystal system: tetragonal.

***

For reference, volume by record: 335.2 898.0 403.6 339.8 108.1 393.9 300.6 120.0 Å³/cell.
For reference, DOS(E_F) by record: 19.1 2.4 89.4 10.7 1.6 18.4 28.0 10.3 states/eV per cell.
For reference, DFT total energy by record: -4.536 -5.324 -10.477 -5.371 -4.291 -9.648 -5.891 -3.230 eV/atom.